# 1
Entry from OQMD via LeMat-Bulk: crystalline ErPuFe at its relaxed geometry (PBE).

Unit cell a=6.2908 b=6.2908 c=6.2908 alpha=90.00 beta=90.00 gamma=90.00
Element x y z (fractional)
Er 0.0000 0.0000 0.0000
Er 0.0000 0.5000 0.5000
Er 0.5000 0.0000 0.5000
Er 0.5000 0.5000 0.0000
Pu 0.0000 0.0000 0.5000
Pu 0.0000 0.5000 0.0000
Pu 0.5000 0.0000 0.0000
Pu 0.5000 0.5000 0.5000
Fe 0.2500 0.2500 0.2500
Fe 0.2500 0.7500 0.7500
Fe 0.7500 0.2500 0.7500
Fe 0.7500 0.7500 0.2500

Polymorph energy (0 for the lowest one), eV/atom: 0.000
Mass density, kg/m³: 12462


# 2
Entry from OQMD via LeMat-Bulk: crystalline ErCdFe at its relaxed geometry (PBE).

Unit cell a=6.3870 b=6.3870 c=6.3870 alpha=90.00 beta=90.00 gamma=90.00
Element x y z (fractional)
Er 0.0000 0.0000 0.0000
Er 0.0000 0.5000 0.5000
Er 0.5000 0.0000 0.5000
Er 0.5000 0.5000 0.0000
Cd 0.0000 0.0000 0.5000
Cd 0.0000 0.5000 0.0000
Cd 0.5000 0.0000 0.0000
Cd 0.5000 0.5000 0.5000
Fe 0.2500 0.2500 0.7500
Fe 0.2500 0.7500 0.2500
Fe 0.7500 0.2500 0.2500
Fe 0.7500 0.7500 0.7500

Mass density, kg/m³: 8553
Energy, eV for the cell shown: -51.24


# 3
Entry from OQMD via LeMat-Bulk: crystalline LuFeBiMo at its relaxed geometry (PBE).

Unit cell a=6.6679 b=6.6679 c=6.6679 alpha=90.00 beta=90.00 gamma=90.00
Element x y z (fractional)
Lu 0.0000 0.0000 0.0000
Lu 0.0000 0.5000 0.5000
Lu 0.5000 0.0000 0.5000
Lu 0.5000 0.5000 0.0000
Fe 0.2500 0.2500 0.7500
Fe 0.2500 0.7500 0.2500
Fe 0.7500 0.2500 0.2500
Fe 0.7500 0.7500 0.7500
Bi 0.0000 0.0000 0.5000
Bi 0.0000 0.5000 0.0000
Bi 0.5000 0.0000 0.0000
Bi 0.5000 0.5000 0.5000
Mo 0.2500 0.2500 0.2500
Mo 0.2500 0.7500 0.7500
Mo 0.7500 0.2500 0.7500
Mo 0.7500 0.7500 0.2500

Polymorph energy (0 for the lowest one), eV/atom: 0.000
Mass density, kg/m³: 12003


# 4
Entry from OQMD via LeMat-Bulk: crystalline Ho3Mg3AgIr2 at its relaxed geometry (PBE).

Unit cell a=7.4337 b=7.4337 c=3.9826 alpha=90.00 beta=90.00 gamma=120.00
Element x y z (fractional)
Ho 0.0000 0.4201 0.0000
Ho 0.4201 0.0000 0.0000
Ho 0.5799 0.5799 0.0000
Mg 0.0000 0.7439 0.5000
Mg 0.2561 0.2561 0.5000
Mg 0.7439 0.0000 0.5000
Ag 0.0000 0.0000 0.0000
Ir 0.3333 0.6667 0.5000
Ir 0.6667 0.3333 0.5000

Mass density, kg/m³: 9235
Energy, eV for the cell shown: -43.89


# 5
Entry from OQMD via LeMat-Bulk: crystalline CoGe2Pd at its relaxed geometry (PBE).

Unit cell a=6.1942 b=6.1942 c=6.1942 alpha=90.00 beta=90.00 gamma=90.00
Element x y z (fractional)
Co 0.0000 0.0000 0.0000
Co 0.0000 0.5000 0.5000
Co 0.5000 0.0000 0.5000
Co 0.5000 0.5000 0.0000
Ge 0.0000 0.0000 0.5000
Ge 0.0000 0.5000 0.0000
Ge 0.2500 0.2500 0.2500
Ge 0.2500 0.7500 0.7500
Ge 0.5000 0.0000 0.0000
Ge 0.5000 0.5000 0.5000
Ge 0.7500 0.2500 0.7500
Ge 0.7500 0.7500 0.2500
Pd 0.2500 0.2500 0.7500
Pd 0.2500 0.7500 0.2500
Pd 0.7500 0.2500 0.2500
Pd 0.7500 0.7500 0.7500

Polymorph energy (0 for the lowest one), eV/atom: 0.168
Mass density, kg/m³: 8682


# 6
Entry from OQMD via LeMat-Bulk: crystalline RbTcAgTe2S at its relaxed geometry (PBE).

Unit cell a=8.4694 b=8.4694 c=10.2350 alpha=90.00 beta=90.00 gamma=152.49
Element x y z (fractional)
Rb 0.2431 0.7569 0.7500
Rb 0.7569 0.2431 0.2500
Tc 0.0000 0.0000 0.0000
Tc 0.0000 0.0000 0.5000
Ag 0.4609 0.5391 0.2500
Ag 0.5391 0.4609 0.7500
Te 0.3821 0.6179 0.0171
Te 0.3821 0.6179 0.4829
Te 0.6179 0.3821 0.5171
Te 0.6179 0.3821 0.9829
S 0.0518 0.9482 0.2500
S 0.9482 0.0518 0.7500

Mass density, kg/m³: 5666
Energy, eV for the cell shown: -51.21


# 7
Entry from OQMD via LeMat-Bulk: crystalline GaReBi at its relaxed geometry (PBE).

Unit cell a=6.4105 b=6.4105 c=6.4105 alpha=90.00 beta=90.00 gamma=90.00
Element x y z (fractional)
Ga 0.0000 0.0000 0.0000
Ga 0.0000 0.5000 0.5000
Ga 0.5000 0.0000 0.5000
Ga 0.5000 0.5000 0.0000
Re 0.2500 0.2500 0.7500
Re 0.2500 0.7500 0.2500
Re 0.7500 0.2500 0.2500
Re 0.7500 0.7500 0.7500
Bi 0.0000 0.0000 0.5000
Bi 0.0000 0.5000 0.0000
Bi 0.5000 0.0000 0.0000
Bi 0.5000 0.5000 0.5000

Polymorph energy (0 for the lowest one), eV/atom: 0.000
Mass density, kg/m³: 11722


# 8
Entry from OQMD via LeMat-Bulk: crystalline CuSb5Pd3 at its relaxed geometry (PBE).

Unit cell a=5.5764 b=5.5764 c=7.9404 alpha=90.00 beta=90.00 gamma=120.00
Element x y z (fractional)
Cu 0.0000 0.0000 0.0000
Sb 0.0000 0.0000 0.5000
Sb 0.3333 0.6667 0.2057
Sb 0.3333 0.6667 0.7943
Sb 0.6667 0.3333 0.2057
Sb 0.6667 0.3333 0.7943
Pd 0.0000 0.5000 0.5000
Pd 0.5000 0.0000 0.5000
Pd 0.5000 0.5000 0.5000

Mass density, kg/m³: 7700
Energy, eV for the cell shown: -39.68


# 9
Entry from OQMD via LeMat-Bulk: crystalline YAuSO at its relaxed geometry (PBE).

Unit cell a=5.6109 b=9.0383 c=5.6280 alpha=90.00 beta=90.00 gamma=90.00
Element x y z (fractional)
Y 0.0000 0.1217 0.2500
Y 0.0000 0.8783 0.7500
Y 0.5000 0.1217 0.7500
Y 0.5000 0.8783 0.2500
Au 0.2500 0.5000 0.2447
Au 0.2500 0.5000 0.7447
Au 0.7500 0.5000 0.2553
Au 0.7500 0.5000 0.7553
S 0.0000 0.2832 0.7500
S 0.0000 0.7168 0.2500
S 0.5000 0.2832 0.2500
S 0.5000 0.7168 0.7500
O 0.2500 0.0000 0.0003
O 0.2500 0.0000 0.5003
O 0.7500 0.0000 0.9997
O 0.7500 0.0000 0.4997

Polymorph energy (0 for the lowest one), eV/atom: 0.043
Mass density, kg/m³: 7772


# 10
Entry from OQMD via LeMat-Bulk: crystalline NaSmZnTe3 at its relaxed geometry (PBE).

Unit cell a=8.8835 b=4.3597 c=10.4625 alpha=90.00 beta=104.69 gamma=90.00
Element x y z (fractional)
Na 0.2187 0.2500 0.2530
Na 0.7813 0.7500 0.7470
Sm 0.3180 0.7500 0.8562
Sm 0.6820 0.2500 0.1438
Zn 0.0820 0.2500 0.6039
Zn 0.9180 0.7500 0.3961
Te 0.0639 0.2500 0.8523
Te 0.2287 0.7500 0.5337
Te 0.4374 0.7500 0.1631
Te 0.5626 0.2500 0.8369
Te 0.7713 0.2500 0.4663
Te 0.9361 0.7500 0.1477

Polymorph energy (0 for the lowest one), eV/atom: 0.012
Mass density, kg/m³: 5266


# 11
Entry from OQMD via LeMat-Bulk: crystalline DyTmCo2Si2 at its relaxed geometry (PBE).

Unit cell a=3.9576 b=3.9576 c=6.5224 alpha=90.00 beta=90.00 gamma=90.00
Element x y z (fractional)
Dy 0.0000 0.0000 0.0000
Tm 0.5000 0.5000 0.3616
Co 0.0000 0.5000 0.6763
Co 0.5000 0.0000 0.6763
Si 0.0000 0.0000 0.4844
Si 0.5000 0.5000 0.8677

Mass density, kg/m³: 8216
Energy, eV for the cell shown: -38.66


# 12
Entry from OQMD via LeMat-Bulk: crystalline KNdTm at its relaxed geometry (PBE).

Unit cell a=8.3333 b=8.3333 c=8.3333 alpha=90.00 beta=90.00 gamma=90.00
Element x y z (fractional)
K 0.0000 0.0000 0.0000
K 0.0000 0.5000 0.5000
K 0.5000 0.0000 0.5000
K 0.5000 0.5000 0.0000
Nd 0.0000 0.0000 0.5000
Nd 0.0000 0.5000 0.0000
Nd 0.5000 0.0000 0.0000
Nd 0.5000 0.5000 0.5000
Tm 0.2500 0.2500 0.2500
Tm 0.2500 0.7500 0.7500
Tm 0.7500 0.2500 0.7500
Tm 0.7500 0.7500 0.2500

Polymorph energy (0 for the lowest one), eV/atom: 0.000
Mass density, kg/m³: 4043